Computed, not measured: crystalline Ge2TeAu at its relaxed geometry at the GGA-PBE level of DFT.

Cell and atoms, written as extended XYZ:
```
4
Lattice="0.000 3.518 3.518 3.518 0.000 3.518 3.518 3.518 0.000" Properties=species:S:1:pos:R:3 pbc="T T T"
Ge 0.000 0.000 0.000
Ge 1.759 1.759 1.759
Te 3.518 3.518 3.518
Au 5.277 5.277 5.277
```

**Electronic total energy**: -3.59 eV per atom